# 1
Here is a relaxed NaZr2CdHg crystal from Alexandria via LeMat-Bulk. Energies are from PBE-GGA.

Unit cell a=5.394 b=5.394 c=5.266 alpha=90.00 beta=90.00 gamma=90.00
Positions (direct):
Na 0.000 0.000 0.000
Zr 0.000 0.500 0.500
Zr 0.500 0.000 0.500
Cd 0.500 0.500 0.500
Hg 0.500 0.500 0.000


# 2
Here is a relaxed MnReOs crystal from Alexandria via LeMat-Bulk. Energies are from PBE-GGA.

Unit cell a=2.700 b=2.700 c=6.517 alpha=90.00 beta=90.00 gamma=120.00
Positions (direct):
Mn 0.000 0.000 0.000
Re 0.667 0.333 0.672
Os 0.333 0.667 0.319


# 3
Here is a relaxed Ac3ZnSb crystal from Alexandria via LeMat-Bulk. Energies are from PBE-GGA.

Unit cell a=5.866 b=5.866 c=5.866 alpha=90.00 beta=90.00 gamma=90.00
Positions (direct):
Ac 0.000 0.000 0.500
Ac 0.000 0.500 0.000
Ac 0.500 0.000 0.000
Zn 0.000 0.000 0.000
Sb 0.500 0.500 0.500


# 4
Here is a relaxed CrCo2SnC crystal from Alexandria via LeMat-Bulk. Energies are from PBE-GGA.

Unit cell a=3.879 b=3.879 c=3.907 alpha=90.00 beta=90.00 gamma=90.00
Positions (direct):
Cr 0.000 0.000 0.000
Co 0.000 0.500 0.500
Co 0.500 0.000 0.500
Sn 0.500 0.500 0.000
C 0.000 0.000 0.500


| no. | uncorrected energy (eV per atom) | volume (Å³/atom) |
| --- | --- | --- |
| 1 | -2.95 | 30.642 |
| 2 | -10.82 | 13.719 |
| 3 | -3.66 | 40.377 |
| 4 | -7.39 | 11.756 |